(1)
GGA-PBE CrB2Pd, optimized geometry; space group = Fm-3m; E = -6.629 eV per atom
1.0
0.000 2.676 2.676
2.676 0.000 2.676
2.676 2.676 0.000
Cr B Pd
1 2 1
Direct
0.000 0.000 0.000 Cr
0.250 0.250 0.250 B
0.750 0.750 0.750 B
0.500 0.500 0.500 Pd

(2)
GGA-PBE Th2HPb, optimized geometry; space group = R-3m; E = -5.684 eV per atom
1.0
1.780 1.028 8.747
-1.780 1.028 8.747
0.000 -2.055 8.747
Th H Pb
2 1 1
Direct
0.227 0.227 0.227 Th
0.773 0.773 0.773 Th
0.500 0.500 0.500 H
0.000 0.000 0.000 Pb

(3)
GGA-PBE Ca2Zn2Pb, optimized geometry; space group = P4/mbm; E = -2.147 eV per atom
1.0
8.578 0.000 0.000
0.000 8.578 0.000
0.000 0.000 3.717
Ca Zn Pb
4 4 2
Direct
0.156 0.344 0.000 Ca
0.344 0.844 0.000 Ca
0.656 0.156 0.000 Ca
0.844 0.656 0.000 Ca
0.137 0.637 0.500 Zn
0.363 0.137 0.500 Zn
0.637 0.863 0.500 Zn
0.863 0.363 0.500 Zn
0.000 0.000 0.000 Pb
0.500 0.500 0.000 Pb

(4)
GGA-PBE MgScMn2, optimized geometry; space group = Pm; E = -6.364 eV per atom
1.0
2.942 0.000 0.000
0.000 4.029 0.000
-1.403 0.000 5.592
Mg Sc Mn
1 1 2
Direct
0.000 0.000 0.000 Mg
0.351 0.500 0.672 Sc
0.578 0.500 0.240 Mn
0.768 0.000 0.429 Mn

(5)
GGA-PBE La8Pm5Tm, optimized geometry; space group = I-4; E = -4.602 eV per atom
1.0
-4.979 4.979 5.140
4.979 -4.979 5.140
4.979 4.979 -5.140
La Pm Tm
8 5 1
Direct
0.078 0.683 0.769 La
0.171 0.272 0.765 La
0.317 0.087 0.395 La
0.508 0.406 0.235 La
0.594 0.829 0.101 La
0.691 0.922 0.605 La
0.728 0.492 0.899 La
0.913 0.309 0.231 La
0.224 0.622 0.194 Pm
0.378 0.572 0.602 Pm
0.428 0.030 0.806 Pm
0.750 0.250 0.500 Pm
0.970 0.776 0.398 Pm
0.000 0.000 0.000 Tm

(6)
GGA-PBE TaInFe2, optimized geometry; space group = P2/m; E = -7.651 eV per atom
1.0
2.775 0.000 0.000
0.000 4.205 0.000
-1.088 0.000 5.496
Ta In Fe
1 1 2
Direct
0.000 0.000 0.000 Ta
0.500 0.000 0.500 In
0.277 0.500 0.786 Fe
0.723 0.500 0.214 Fe

(7)
GGA-PBE AlIn2B, optimized geometry; space group = Fm-3m; E = -3.044 eV per atom
1.0
0.000 3.407 3.407
3.407 0.000 3.407
3.407 3.407 0.000
Al In B
1 2 1
Direct
0.000 0.000 0.000 Al
0.250 0.250 0.250 In
0.750 0.750 0.750 In
0.500 0.500 0.500 B

(8)
GGA-PBE HfSbH2, optimized geometry; space group = Cm; E = -5.565 eV per atom
1.0
2.915 -1.743 0.000
2.915 1.743 0.000
-1.996 0.000 5.249
Hf Sb H
1 1 2
Direct
0.000 0.000 0.000 Hf
0.808 0.808 0.427 Sb
0.319 0.319 0.938 H
0.626 0.626 0.867 H

(9)
GGA-PBE CsGa2Au4, optimized geometry; space group = P-1; E = -2.990 eV per atom
1.0
6.455 0.000 0.000
-0.001 6.457 0.000
-3.199 -3.218 8.128
Cs Ga Au
2 4 8
Direct
0.125 0.374 0.250 Cs
0.875 0.626 0.750 Cs
0.000 0.000 0.500 Ga
0.500 0.000 0.000 Ga
0.500 0.000 0.500 Ga
0.500 0.500 0.000 Ga
0.140 0.174 0.846 Au
0.292 0.827 0.154 Au
0.327 0.360 0.653 Au
0.328 0.793 0.654 Au
0.672 0.207 0.346 Au
0.673 0.640 0.347 Au
0.708 0.173 0.846 Au
0.860 0.826 0.154 Au

(10)
GGA-PBE AcMgAl3Pd, optimized geometry; space group = Cmcm; E = -4.006 eV per atom
1.0
3.023 -6.893 0.000
3.023 6.893 0.000
0.000 0.000 6.432
Ac Mg Al Pd
2 2 6 2
Direct
0.208 0.792 0.750 Ac
0.792 0.208 0.250 Ac
0.147 0.853 0.250 Mg
0.853 0.147 0.750 Mg
0.221 0.221 0.000 Al
0.221 0.221 0.500 Al
0.379 0.621 0.250 Al
0.621 0.379 0.750 Al
0.779 0.779 0.000 Al
0.779 0.779 0.500 Al
0.423 0.577 0.750 Pd
0.577 0.423 0.250 Pd

(11)
GGA-PBE Y2MnCrSe, optimized geometry; space group = P4/mmm; formation energy without anion corrections = 0.095 eV per atom; E = -6.946 eV per atom
1.0
5.355 0.000 0.000
0.000 5.355 0.000
0.000 0.000 3.991
Y Mn Cr Se
2 1 1 1
Direct
0.000 0.500 0.000 Y
0.500 0.000 0.000 Y
0.000 0.000 0.000 Mn
0.000 0.000 0.500 Cr
0.500 0.500 0.500 Se

(12)
GGA-PBE K2Tm2PbO6, optimized geometry; space group = C2/m; formation energy without anion corrections = -2.308 eV per atom; E = -6.362 eV per atom
1.0
2.939 -5.104 0.000
2.939 5.104 0.000
-1.885 0.000 6.393
K Tm Pb O
2 2 1 6
Direct
0.166 0.834 0.000 K
0.834 0.166 0.000 K
0.334 0.666 0.500 Tm
0.666 0.334 0.500 Tm
0.000 0.000 0.500 Pb
0.051 0.390 0.677 O
0.267 0.267 0.324 O
0.390 0.051 0.677 O
0.610 0.949 0.323 O
0.733 0.733 0.676 O
0.949 0.610 0.323 O

(13)
GGA-PBE KBaRe2, optimized geometry; space group = Imm2; E = -5.997 eV per atom
1.0
-1.873 2.879 5.723
1.873 -2.879 5.723
1.873 2.879 -5.723
K Ba Re
1 1 2
Direct
0.000 0.000 0.000 K
0.712 0.212 0.500 Ba
0.283 0.783 0.500 Re
0.406 0.406 0.000 Re

(14)
GGA-PBE Ba3Al2Sn9Pb, optimized geometry; space group = P-3m1; E = -3.617 eV per atom
1.0
8.383 0.000 0.000
-4.192 7.260 0.000
0.000 0.000 8.701
Ba Al Sn Pb
3 2 9 1
Direct
0.000 0.000 0.000 Ba
0.333 0.667 0.680 Ba
0.667 0.333 0.320 Ba
0.333 0.667 0.088 Al
0.667 0.333 0.912 Al
0.000 0.500 0.000 Sn
0.199 0.397 0.322 Sn
0.199 0.801 0.322 Sn
0.397 0.199 0.678 Sn
0.500 0.000 0.000 Sn
0.500 0.500 0.000 Sn
0.603 0.801 0.322 Sn
0.801 0.199 0.678 Sn
0.801 0.603 0.678 Sn
0.000 0.000 0.500 Pb

(15)
GGA-PBE Cd2CuPbO4, optimized geometry; space group = Cmcm; formation energy without anion corrections = -0.763 eV per atom; E = -4.446 eV per atom
1.0
1.696 -5.806 0.000
1.696 5.806 0.000
0.000 0.000 11.695
Cd Cu Pb O
4 2 2 8
Direct
0.128 0.872 0.540 Cd
0.128 0.872 0.960 Cd
0.872 0.128 0.040 Cd
0.872 0.128 0.460 Cd
0.363 0.637 0.250 Cu
0.637 0.363 0.750 Cu
0.371 0.629 0.750 Pb
0.629 0.371 0.250 Pb
0.062 0.938 0.750 O
0.239 0.761 0.124 O
0.239 0.761 0.376 O
0.500 0.500 0.000 O
0.500 0.500 0.500 O
0.761 0.239 0.624 O
0.761 0.239 0.876 O
0.938 0.062 0.250 O

(16)
GGA-PBE PuMgHgO6, optimized geometry; space group = C2; formation energy without anion corrections = -1.688 eV per atom; E = -6.797 eV per atom
1.0
2.714 -4.706 0.000
2.714 4.706 0.000
-0.008 0.000 4.878
Pu Mg Hg O
1 1 1 6
Direct
0.000 0.000 0.000 Pu
0.667 0.333 0.000 Mg
0.333 0.667 0.500 Hg
0.318 0.022 0.219 O
0.318 0.296 0.781 O
0.703 0.021 0.781 O
0.704 0.682 0.219 O
0.978 0.682 0.781 O
0.979 0.297 0.219 O

(17)
GGA-PBE MgSnIN2, optimized geometry; space group = P4/mmm; formation energy without anion corrections = 1.007 eV per atom; E = -3.753 eV per atom
1.0
4.140 0.000 0.000
0.000 4.140 0.000
0.000 0.000 6.405
Mg Sn I N
1 1 1 2
Direct
0.000 0.000 0.000 Mg
0.500 0.500 0.500 Sn
0.500 0.500 0.000 I
0.000 0.500 0.500 N
0.500 0.000 0.500 N

(18)
GGA-PBE NaPmBiRh, optimized geometry; space group = F-43m; E = -4.789 eV per atom
1.0
0.000 3.522 3.522
3.522 0.000 3.522
3.522 3.522 0.000
Na Pm Bi Rh
1 1 1 1
Direct
0.000 0.000 0.000 Na
0.750 0.750 0.750 Pm
0.250 0.250 0.250 Bi
0.500 0.500 0.500 Rh

(19)
GGA-PBE CsAgN2O, optimized geometry; space group = P4/mmm; formation energy without anion corrections = 2.344 eV per atom; E = -2.719 eV per atom
1.0
4.830 0.000 0.000
0.000 4.830 0.000
0.000 0.000 4.484
Cs Ag N O
1 1 2 1
Direct
0.000 0.000 0.000 Cs
0.500 0.500 0.500 Ag
0.000 0.500 0.000 N
0.500 0.000 0.000 N
0.000 0.000 0.500 O

(20)
GGA-PBE SrTcN2, optimized geometry; space group = Cmce; formation energy without anion corrections = -0.482 eV per atom; E = -7.657 eV per atom
1.0
2.599 -6.371 0.000
2.599 6.371 0.000
0.000 0.000 7.388
Sr Tc N
4 4 8
Direct
0.167 0.833 0.914 Sr
0.333 0.667 0.414 Sr
0.667 0.333 0.586 Sr
0.833 0.167 0.086 Sr
0.071 0.929 0.347 Tc
0.429 0.571 0.847 Tc
0.571 0.429 0.153 Tc
0.929 0.071 0.653 Tc
0.078 0.422 0.750 N
0.091 0.909 0.598 N
0.409 0.591 0.098 N
0.422 0.078 0.250 N
0.578 0.922 0.750 N
0.591 0.409 0.902 N
0.909 0.091 0.402 N
0.922 0.578 0.250 N

M_tot across the listed records, respectively: 0.0, 0.0, 0.0, 0.3, 0.0, 4.2, 0.0, 0.0, 0.0, 0.0, 0.3, 0.0, 0.0, 0.0, 2.0, 0.0, 0.9, 0.0, 3.0, 0.0 μB/cell.